Entry from Alexandria: EuSnHg after structural relaxation (PBE-GGA).

Results
VASP energy (eV for the cell shown): -32.54
Calculated volume (Å³ per cell): 168
Magnetization (μB/cell): 14.08

Structure (CIF):
```
data_EuSnHg
_chemical_formula_sum 'Eu2 Sn2 Hg2'
_cell_length_a 4.967
_cell_length_b 4.967
_cell_length_c 7.885
_cell_angle_alpha 90.00
_cell_angle_beta 90.00
_cell_angle_gamma 120.00
_space_group_name_H-M_alt 'P 1'
_space_group_IT_number 1
_space_group_name_Hall 'P 1'
loop_
_atom_site_label
_atom_site_fract_x
_atom_site_fract_y
_atom_site_fract_z
Eu1 0.000 0.000 0.750
Eu2 0.000 0.000 0.250
Hg1 0.667 0.333 0.554
Hg2 0.333 0.667 0.054
Sn1 0.333 0.667 0.465
Sn2 0.667 0.333 0.965
```